[1]
Entry from the Alexandria database: an optimized crystal structure of MnNbGa2 (GGA-PBE).

Computed properties:
crystal system: trigonal
total magnetic moment: 7.9 μB per cell
mass density: 7.6 Mg/m³
formation energy from the elements: -0.04 eV/atom

a b c (Å): 4.1392 4.1392 12.7542
angles (deg): 90.00 90.00 120.00
Space group R-3m (No. 166, hexagonal axes)
Unique sites:
Mn  0.0000  0.0000  0.0000 (multiplicity 3)
Nb  0.0000  0.0000  0.5000 (multiplicity 3)
Ga  0.0000  0.0000  0.2674 (multiplicity 6)


[2]
Entry from the Alexandria database: an optimized crystal structure of LiCu4 (GGA-PBE).

Computed properties:
crystal system: cubic
total magnetic moment: 0.0 μB per cell
mass density: 6.2 Mg/m³
formation energy from the elements: 0.55 eV/atom
energy above the most stable polymorph in this dataset: 0.588 eV/atom

a b c (Å): 5.193 5.193 5.193
angles (deg): 90.00 90.00 90.00
Space group Im-3m (No. 229)
Unique sites:
Li  0.000  0.000  0.000 (multiplicity 2)
Cu  0.250  0.250  0.250 (multiplicity 8)


[3]
Entry from the Alexandria database: an optimized crystal structure of CaSi2H (GGA-PBE).

Computed properties:
crystal system: monoclinic
total magnetic moment: 0.0 μB per cell
mass density: 2.3 Mg/m³
energy above the most stable polymorph in this dataset: 0.063 eV/atom

a b c (Å): 11.112 3.872 6.830
angles (deg): 90.00 102.61 90.00
Space group Cm (No. 8)
Unique sites:
Ca  0.000  0.000  0.000 (multiplicity 2)
Ca  0.248  0.000  0.563 (multiplicity 2)
Si  0.018  0.500  0.665 (multiplicity 2)
Si  0.217  0.500  0.876 (multiplicity 2)
Si  0.292  0.000  0.068 (multiplicity 2)
Si  0.474  0.500  0.446 (multiplicity 2)
H  0.202  0.000  0.219 (multiplicity 2)
H  0.331  0.500  0.438 (multiplicity 2)


[4]
Entry from the Alexandria database: an optimized crystal structure of DyMgAgBr6 (GGA-PBE).

Computed properties:
crystal system: trigonal
total magnetic moment: 0.0 μB per cell
mass density: 4.7 Mg/m³
raw total energy: -3.487 eV/atom

a b c (Å): 6.9771 6.9771 12.9177
angles (deg): 90.00 90.00 120.00
Space group P-31c (No. 163)
Unique sites:
Dy  0.3333  0.6667  0.2500 (multiplicity 2)
Mg  0.3333  0.6667  0.7500 (multiplicity 2)
Ag  0.0000  0.0000  0.0000 (multiplicity 2)
Br  0.0116  0.3552  0.6289 (multiplicity 12)


[5]
Entry from the Alexandria database: an optimized crystal structure of FeAg2IrRh (GGA-PBE).

Computed properties:
crystal system: tetragonal
total magnetic moment: 3.6 μB per cell
mass density: 8.2 Mg/m³
formation energy from the elements: 1.60 eV/atom

a b c (Å): 4.978 4.978 4.621
angles (deg): 90.00 90.00 90.00
Space group P4/mmm (No. 123)
Unique sites:
Fe  0.000  0.000  0.000 (multiplicity 1)
Ag  0.000  0.500  0.500 (multiplicity 2)
Ir  0.500  0.500  0.000 (multiplicity 1)
Rh  0.500  0.500  0.500 (multiplicity 1)


[6]
Entry from the Alexandria database: an optimized crystal structure of AlV2AgCl (GGA-PBE).

Computed properties:
crystal system: tetragonal
total magnetic moment: 0.9 μB per cell
mass density: 5.0 Mg/m³
raw total energy: -4.575 eV/atom

a b c (Å): 4.279 4.279 4.893
angles (deg): 90.00 90.00 90.00
Space group P4/mmm (No. 123)
Unique sites:
Al  0.000  0.000  0.000 (multiplicity 1)
V  0.000  0.500  0.500 (multiplicity 2)
Ag  0.500  0.500  0.000 (multiplicity 1)
Cl  0.500  0.500  0.500 (multiplicity 1)